No. 1
Sm2Y3HoTm6 | PBE | relaxed

a b c (Å): 6.124 6.124 11.700
angles (deg): 95.00 95.00 119.95
Fractional coordinates of all 12 atoms:
Sm (0.167, 0.833, 0.000)
Sm (0.833, 0.167, 0.000)
Y (0.000, 0.000, 0.500)
Y (0.333, 0.667, 0.500)
Y (0.667, 0.333, 0.500)
Ho (0.500, 0.500, 0.000)
Tm (0.083, 0.416, 0.750)
Tm (0.251, 0.251, 0.250)
Tm (0.416, 0.083, 0.750)
Tm (0.584, 0.917, 0.250)
Tm (0.749, 0.749, 0.750)
Tm (0.917, 0.584, 0.250)

***

No. 2
SnH2Ru | PBE | relaxed

a b c (Å): 3.772 3.186 7.707
angles (deg): 90.00 104.03 90.00
Fractional coordinates of all 8 atoms:
Sn (0.087, 0.250, 0.183)
Sn (0.913, 0.750, 0.817)
H (0.266, 0.750, 0.510)
H (0.427, 0.250, 0.851)
H (0.573, 0.750, 0.149)
H (0.734, 0.250, 0.490)
Ru (0.323, 0.250, 0.635)
Ru (0.677, 0.750, 0.365)

Results
E above lowest polymorph	181	meV/atom

***

no.,energy (eV per cell)
1,-59.94
2,-39.06